## Cs2SnMoI6 (GGA-PBE)

Data for Cs2SnMoI6 after structural relaxation.

Results
Formation energy (no corrections) ... -0.69 eV per atom
Energy ... -65.5 eV per cell
Crystal system ... tetragonal
Total magnetic moment ... 0.400 μB/atom

a b c (Å): 8.5808 8.5808 12.1646
angles (deg): 90.00 90.00 90.00
With the nearest neighbours (Å) after each atom.
Space group I4/mmm (No. 139)
Symmetry-distinct sites (fractional):
Cs (0.0000, 0.5000, 0.2500) x4  12 I 4.29-4.30
Sn (0.0000, 0.0000, 0.0000) x2  6 I 3.18
Mo (0.0000, 0.0000, 0.5000) x2  6 I 2.89-2.90
I (0.0000, 0.0000, 0.2614) x4  1 Mo 2.90, 1 Sn 3.18
I (0.2383, 0.2383, 0.5000) x8  1 Mo 2.89, 1 Sn 3.18

=====

## Cs2TaMoI6 (GGA-PBE)

Data for Cs2TaMoI6 after structural relaxation.

Results
Formation energy (no corrections) ... -0.40 eV per atom
Energy ... -75.3 eV per cell
Crystal system ... tetragonal
Total magnetic moment ... 0.700 μB/atom

a b c (Å): 8.3486 8.3486 11.8642
angles (deg): 90.00 90.00 90.00
With the nearest neighbours (Å) after each atom.
Space group I4/mmm (No. 139)
Symmetry-distinct sites (fractional):
Cs (0.0000, 0.5000, 0.2500) x4  12 I 4.17-4.18
Ta (0.0000, 0.0000, 0.0000) x2  6 I 2.90
Mo (0.0000, 0.0000, 0.5000) x2  6 I 3.01-3.04
I (0.0000, 0.0000, 0.2441) x4  1 Ta 2.90, 1 Mo 3.04
I (0.2454, 0.2454, 0.0000) x8  1 Ta 2.90, 1 Mo 3.01

=====

## CsTeMoI2 (GGA-PBE)

Data for CsTeMoI2 after structural relaxation.

Results
Formation energy (no corrections) ... -0.33 eV per atom
Energy ... -19.6 eV per cell
Crystal system ... tetragonal
Total magnetic moment ... 0.570 μB/atom

a b c (Å): 5.9859 5.9859 5.3607
angles (deg): 90.00 90.00 90.00
With the nearest neighbours (Å) after each atom.
Space group P4/mmm (No. 123)
Symmetry-distinct sites (fractional):
Cs (0.0000, 0.0000, 0.0000) x1  8 I 4.02, 4 Te 4.23
Te (0.5000, 0.5000, 0.0000) x1  2 Mo 2.68
Mo (0.5000, 0.5000, 0.5000) x1  2 Te 2.68, 4 I 2.99
I (0.0000, 0.5000, 0.5000) x2  2 Mo 2.99

=====

## CsTeMo2I (GGA-PBE)

Data for CsTeMo2I after structural relaxation.

Results
Formation energy (no corrections) ... 2.42 eV per atom
Energy ... -15.1 eV per cell
Crystal system ... tetragonal
Total magnetic moment ... 1.989 μB/atom

a b c (Å): 6.3008 6.3008 6.6572
angles (deg): 90.00 90.00 90.00
With the nearest neighbours (Å) after each atom.
Space group P4/mmm (No. 123)
Symmetry-distinct sites (fractional):
Cs (0.0000, 0.0000, 0.0000) x1  4 Mo 3.15, 2 I 3.33
Te (0.5000, 0.5000, 0.5000) x1  4 I 4.46, 8 Mo 4.58
Mo (0.0000, 0.5000, 0.0000) x2  2 Cs 3.15
I (0.0000, 0.0000, 0.5000) x1  2 Cs 3.33